Here is a relaxed structure of MnTe3 from Alexandria via LeMat-Bulk. Energies are from PBE.

extended XYZ file:
```
4
Lattice="3.861 0.000 0.000 0.000 5.568 0.206 0.000 3.354 5.225" Properties=species:S:1:pos:R:3 pbc="T T T"
Mn 0.000 0.000 0.000
Te 1.930 7.317 4.487
Te 0.000 4.461 2.716
Te 1.930 1.605 0.944
```

Properties
The space-group type is P2/m (10). Its crystal system is monoclinic. The value obtained for the calculated total energy is -4.68 eV/atom. As for the total moment: 3.00 μB per formula unit.



Here is a relaxed structure of Na5TlAu3 from Alexandria via LeMat-Bulk. Energies are from PBE.

extended XYZ file:
```
18
Lattice="6.423 0.000 0.000 0.000 8.864 0.000 0.000 -4.432 7.675" Properties=species:S:1:pos:R:3 pbc="T T T"
Na 0.000 4.432 2.558
Na 3.211 0.000 5.117
Na 0.000 0.000 5.117
Na 3.211 4.432 2.558
Na 4.817 2.966 5.137
Na 4.817 7.399 2.538
Na 4.817 2.931 0.000
Na 1.606 1.466 2.538
Na 1.606 -2.966 5.137
Na 1.606 5.934 0.000
Tl 0.000 0.000 0.000
Tl 3.211 0.000 0.000
Au 4.817 1.492 2.583
Au 4.817 5.924 5.092
Au 4.817 5.880 0.000
Au 1.606 2.941 5.092
Au 1.606 -1.492 2.583
Au 1.606 2.984 0.000
```

Properties
The space-group type is P6_3/mcm (193). Its formation energy is -0.22 eV per atom. Its crystal system is hexagonal. The value obtained for the calculated total energy is -2.30 eV/atom. As for the total moment: 0.00 μB per formula unit.



Here is a relaxed structure of Pu2FePt9 from Alexandria via LeMat-Bulk. Energies are from PBE.

extended XYZ file:
```
12
Lattice="4.088 0.000 0.000 0.000 4.088 0.000 0.000 0.000 12.218" Properties=species:S:1:pos:R:3 pbc="T T T"
Pu 0.000 0.000 3.992
Pu 4.088 4.088 8.226
Fe 0.000 0.000 0.000
Pt 2.044 2.044 0.000
Pt 2.044 2.044 3.976
Pt 2.044 2.044 8.241
Pt 2.044 0.000 1.856
Pt 2.044 0.000 6.109
Pt 2.044 4.088 10.362
Pt 0.000 2.044 1.856
Pt 0.000 2.044 6.109
Pt 4.087 2.044 10.362
```

Properties
The space-group type is P4/mmm (123). Its formation energy is -0.51 eV per atom. Its crystal system is tetragonal. The value obtained for the calculated total energy is -8.13 eV/atom. As for the total moment: 13.29 μB per formula unit.



Here is a relaxed structure of Pa2TaZn from Alexandria via LeMat-Bulk. Energies are from PBE.

extended XYZ file:
```
4
Lattice="-2.534 -0.596 -1.564 -0.527 -2.810 -1.023 -6.476 -3.685 8.950" Properties=species:S:1:pos:R:3 pbc="T T T"
Zn 0.000 0.000 0.000
Pa -5.013 -3.001 6.318
Pa -4.525 -4.090 0.045
Ta -4.769 -3.545 3.181
```

Properties
The space-group type is R-3m (166). Its formation energy is 0.35 eV per atom. Its crystal system is trigonal. The value obtained for the calculated total energy is -7.68 eV/atom. As for the total moment: 0.00 μB per formula unit. As for the energy relative to the lowest polymorph listed for this composition: 219 meV/atom.



The calculation returns the following Fermi-level density of states values, one per record and in order: 0.489; 0.371; 2.795; 1.291 states/eV/atom.